1.
# HoInRh2, relaxed, DFT PBEsol
# E_form	-765	meV per atom
# electronic total energy	-6.82	eV per atom
# crystal system	cubic
data_HoInRh2
_chemical_formula_sum 'Ho1 In1 Rh2'
_symmetry_space_group_name_H-M 'P 1'
_symmetry_Int_Tables_number 1
_cell_length_a 4.606
_cell_length_b 4.606
_cell_length_c 4.606
_cell_angle_alpha 60.00
_cell_angle_beta 60.00
_cell_angle_gamma 60.00
loop_
_symmetry_equiv_pos_as_xyz
'x,y,z'
loop_
_atom_site_label
_atom_site_fract_x
_atom_site_fract_y
_atom_site_fract_z
Ho1 0.000 0.000 0.000
In1 0.500 0.500 0.500
Rh1 0.250 0.250 0.250
Rh2 0.750 0.750 0.750

***

2.
# BaCuO3, relaxed, DFT PBEsol
# electronic total energy	-5.74	eV per atom
# E_form (uncorrected)	-1.29	eV per atom
# crystal system	cubic
data_BaCuO3
_chemical_formula_sum 'Ba1 Cu1 O3'
_symmetry_space_group_name_H-M 'P 1'
_symmetry_Int_Tables_number 1
_cell_length_a 3.946
_cell_length_b 3.946
_cell_length_c 3.946
_cell_angle_alpha 90.00
_cell_angle_beta 90.00
_cell_angle_gamma 90.00
loop_
_symmetry_equiv_pos_as_xyz
'x,y,z'
loop_
_atom_site_label
_atom_site_fract_x
_atom_site_fract_y
_atom_site_fract_z
Ba1 0.000 0.000 0.000
Cu1 0.500 0.500 0.500
O1 0.000 0.500 0.500
O2 0.500 0.000 0.500
O3 0.500 0.500 0.000

***

3.
# Cd2SiSbH, relaxed, DFT PBEsol
# electronic total energy	-2.92	eV per atom
# crystal system	tetragonal
data_Cd2SiSbH
_chemical_formula_sum 'Cd2 Si1 Sb1 H1'
_symmetry_space_group_name_H-M 'P 1'
_symmetry_Int_Tables_number 1
_cell_length_a 5.321
_cell_length_b 5.321
_cell_length_c 3.340
_cell_angle_alpha 90.00
_cell_angle_beta 90.00
_cell_angle_gamma 90.00
loop_
_symmetry_equiv_pos_as_xyz
'x,y,z'
loop_
_atom_site_label
_atom_site_fract_x
_atom_site_fract_y
_atom_site_fract_z
Cd1 0.000 0.500 0.000
Cd2 0.500 0.000 0.000
Si1 0.000 0.000 0.000
Sb1 0.500 0.500 0.500
H1 0.000 0.000 0.500

***

4.
# ScTa2PtO, relaxed, DFT PBEsol
# electronic total energy	-7.85	eV per atom
# E_form (uncorrected)	0.93	eV per atom
# crystal system	tetragonal
data_ScTa2PtO
_chemical_formula_sum 'Sc1 Ta2 Pt1 O1'
_symmetry_space_group_name_H-M 'P 1'
_symmetry_Int_Tables_number 1
_cell_length_a 5.046
_cell_length_b 5.046
_cell_length_c 3.796
_cell_angle_alpha 90.00
_cell_angle_beta 90.00
_cell_angle_gamma 90.00
loop_
_symmetry_equiv_pos_as_xyz
'x,y,z'
loop_
_atom_site_label
_atom_site_fract_x
_atom_site_fract_y
_atom_site_fract_z
Sc1 0.000 0.000 0.000
Ta1 0.000 0.500 0.500
Ta2 0.500 0.000 0.500
Pt1 0.500 0.500 0.500
O1 0.500 0.500 0.000

***

5.
# BaSr2MoBr, relaxed, DFT PBEsol
# electronic total energy	-3.43	eV per atom
# E_form (uncorrected)	0.47	eV per atom
# crystal system	tetragonal
data_BaSr2MoBr
_chemical_formula_sum 'Ba1 Sr2 Mo1 Br1'
_symmetry_space_group_name_H-M 'P 1'
_symmetry_Int_Tables_number 1
_cell_length_a 5.753
_cell_length_b 5.753
_cell_length_c 6.184
_cell_angle_alpha 90.00
_cell_angle_beta 90.00
_cell_angle_gamma 90.00
loop_
_symmetry_equiv_pos_as_xyz
'x,y,z'
loop_
_atom_site_label
_atom_site_fract_x
_atom_site_fract_y
_atom_site_fract_z
Ba1 0.000 0.000 0.000
Sr1 0.000 0.500 0.500
Sr2 0.500 0.000 0.500
Mo1 0.500 0.500 0.000
Br1 0.000 0.000 0.500

***

6.
# Co2AgTe, relaxed, DFT PBEsol
# electronic total energy	-4.98	eV per atom
# E_form (uncorrected)	0.59	eV per atom
# crystal system	tetragonal
data_Co2AgTe
_chemical_formula_sum 'Co4 Ag2 Te2'
_symmetry_space_group_name_H-M 'P 1'
_symmetry_Int_Tables_number 1
_cell_length_a 5.512
_cell_length_b 5.512
_cell_length_c 5.512
_cell_angle_alpha 103.91
_cell_angle_beta 103.91
_cell_angle_gamma 121.28
loop_
_symmetry_equiv_pos_as_xyz
'x,y,z'
loop_
_atom_site_label
_atom_site_fract_x
_atom_site_fract_y
_atom_site_fract_z
Co1 0.102 0.125 0.477
Co2 0.375 0.898 0.023
Co3 0.648 0.625 0.523
Co4 0.875 0.352 0.977
Ag1 0.250 0.750 0.500
Ag2 0.500 0.500 0.000
Te1 0.000 0.000 0.000
Te2 0.750 0.250 0.500

***

7.
# RbMgTl2W, relaxed, DFT PBEsol
# E_form	1296	meV per atom
# electronic total energy	-3.07	eV per atom
# crystal system	tetragonal
data_RbMgTl2W
_chemical_formula_sum 'Rb1 Mg1 Tl2 W1'
_symmetry_space_group_name_H-M 'P 1'
_symmetry_Int_Tables_number 1
_cell_length_a 5.461
_cell_length_b 5.461
_cell_length_c 5.365
_cell_angle_alpha 90.00
_cell_angle_beta 90.00
_cell_angle_gamma 90.00
loop_
_symmetry_equiv_pos_as_xyz
'x,y,z'
loop_
_atom_site_label
_atom_site_fract_x
_atom_site_fract_y
_atom_site_fract_z
Rb1 0.000 0.000 0.000
Mg1 0.500 0.500 0.500
Tl1 0.000 0.500 0.500
Tl2 0.500 0.000 0.500
W1 0.500 0.500 0.000

***

8.
# NbGe2PbSe, relaxed, DFT PBEsol
# electronic total energy	-4.54	eV per atom
# E_form (uncorrected)	1.17	eV per atom
# crystal system	tetragonal
data_NbGe2PbSe
_chemical_formula_sum 'Nb1 Ge2 Pb1 Se1'
_symmetry_space_group_name_H-M 'P 1'
_symmetry_Int_Tables_number 1
_cell_length_a 4.848
_cell_length_b 4.848
_cell_length_c 5.457
_cell_angle_alpha 90.00
_cell_angle_beta 90.00
_cell_angle_gamma 90.00
loop_
_symmetry_equiv_pos_as_xyz
'x,y,z'
loop_
_atom_site_label
_atom_site_fract_x
_atom_site_fract_y
_atom_site_fract_z
Nb1 0.000 0.000 0.000
Ge1 0.000 0.500 0.500
Ge2 0.500 0.000 0.500
Pb1 0.500 0.500 0.000
Se1 0.500 0.500 0.500

***

9.
# ReCl, relaxed, DFT PBEsol
# offset from the most stable computed form	116.1	kJ per mole of atoms
# electronic total energy	-6.47	eV per atom
# E_form (uncorrected)	1.20	eV per atom
# crystal system	cubic
data_ReCl
_chemical_formula_sum 'Re2 Cl2'
_symmetry_space_group_name_H-M 'P 1'
_symmetry_Int_Tables_number 1
_cell_length_a 4.424
_cell_length_b 4.424
_cell_length_c 4.424
_cell_angle_alpha 60.00
_cell_angle_beta 60.00
_cell_angle_gamma 60.00
loop_
_symmetry_equiv_pos_as_xyz
'x,y,z'
loop_
_atom_site_label
_atom_site_fract_x
_atom_site_fract_y
_atom_site_fract_z
Re1 0.125 0.125 0.125
Re2 0.875 0.875 0.875
Cl1 0.375 0.375 0.375
Cl2 0.625 0.625 0.625

***

10.
# RePdNF2, relaxed, DFT PBEsol
# electronic total energy	-6.52	eV per atom
# E_form (uncorrected)	-0.18	eV per atom
# crystal system	tetragonal
data_RePdNF2
_chemical_formula_sum 'Re1 Pd1 N1 F2'
_symmetry_space_group_name_H-M 'P 1'
_symmetry_Int_Tables_number 1
_cell_length_a 4.044
_cell_length_b 4.044
_cell_length_c 3.819
_cell_angle_alpha 90.00
_cell_angle_beta 90.00
_cell_angle_gamma 90.00
loop_
_symmetry_equiv_pos_as_xyz
'x,y,z'
loop_
_atom_site_label
_atom_site_fract_x
_atom_site_fract_y
_atom_site_fract_z
Re1 0.000 0.000 0.000
Pd1 0.500 0.500 0.500
N1 0.000 0.000 0.500
F1 0.000 0.500 0.000
F2 0.500 0.000 0.000

***

11.
# ZnReSe, relaxed, DFT PBEsol
# electronic total energy	-5.34	eV per atom
# E_form (uncorrected)	0.91	eV per atom
# crystal system	cubic
data_ZnReSe
_chemical_formula_sum 'Zn1 Re1 Se1'
_symmetry_space_group_name_H-M 'P 1'
_symmetry_Int_Tables_number 1
_cell_length_a 4.144
_cell_length_b 4.144
_cell_length_c 4.144
_cell_angle_alpha 60.00
_cell_angle_beta 60.00
_cell_angle_gamma 60.00
loop_
_symmetry_equiv_pos_as_xyz
'x,y,z'
loop_
_atom_site_label
_atom_site_fract_x
_atom_site_fract_y
_atom_site_fract_z
Zn1 0.000 0.000 0.000
Re1 0.500 0.500 0.500
Se1 0.250 0.250 0.250

***

12.
# Sm2CoGe2, relaxed, DFT PBEsol
# E_form	-751	meV per atom
# electronic total energy	-6.31	eV per atom
# crystal system	monoclinic
data_Sm2CoGe2
_chemical_formula_sum 'Sm4 Co2 Ge4'
_symmetry_space_group_name_H-M 'P 1'
_symmetry_Int_Tables_number 1
_cell_length_a 5.697
_cell_length_b 5.697
_cell_length_c 10.234
_cell_angle_alpha 115.62
_cell_angle_beta 115.62
_cell_angle_gamma 43.04
loop_
_symmetry_equiv_pos_as_xyz
'x,y,z'
loop_
_atom_site_label
_atom_site_fract_x
_atom_site_fract_y
_atom_site_fract_z
Sm1 0.003 0.003 0.333
Sm2 0.190 0.190 0.116
Sm3 0.810 0.810 0.884
Sm4 0.997 0.997 0.667
Co1 0.276 0.276 0.656
Co2 0.724 0.724 0.344
Ge1 0.334 0.334 0.440
Ge2 0.490 0.490 0.123
Ge3 0.510 0.510 0.877
Ge4 0.666 0.666 0.560

***

13.
# Sr2ZnAs, relaxed, DFT PBEsol
# E_form	-421	meV per atom
# offset from the most stable computed form	27.0	kJ per mole of atoms
# electronic total energy	-3.01	eV per atom
# crystal system	tetragonal
data_Sr2ZnAs
_chemical_formula_sum 'Sr2 Zn1 As1'
_symmetry_space_group_name_H-M 'P 1'
_symmetry_Int_Tables_number 1
_cell_length_a 4.504
_cell_length_b 4.504
_cell_length_c 6.249
_cell_angle_alpha 90.00
_cell_angle_beta 90.00
_cell_angle_gamma 90.00
loop_
_symmetry_equiv_pos_as_xyz
'x,y,z'
loop_
_atom_site_label
_atom_site_fract_x
_atom_site_fract_y
_atom_site_fract_z
Sr1 0.000 0.000 0.000
Sr2 0.500 0.500 0.500
Zn1 0.000 0.000 0.500
As1 0.500 0.500 0.000

***

14.
# Zr2SbAs, relaxed, DFT PBEsol
# electronic total energy	-7.81	eV per atom
# E_form (uncorrected)	-0.85	eV per atom
# crystal system	tetragonal
data_Zr2SbAs
_chemical_formula_sum 'Zr2 Sb1 As1'
_symmetry_space_group_name_H-M 'P 1'
_symmetry_Int_Tables_number 1
_cell_length_a 3.812
_cell_length_b 3.812
_cell_length_c 5.911
_cell_angle_alpha 90.00
_cell_angle_beta 90.00
_cell_angle_gamma 90.00
loop_
_symmetry_equiv_pos_as_xyz
'x,y,z'
loop_
_atom_site_label
_atom_site_fract_x
_atom_site_fract_y
_atom_site_fract_z
Zr1 0.000 0.000 0.000
Zr2 0.500 0.500 0.348
Sb1 0.500 0.500 0.847
As1 0.000 0.000 0.467